Record 1
Mn2SbBr PBE relaxed; uncorrected formation energy = 0.75 kJ/mol of atoms; energy above the most stable polymorph in this dataset = 0.0000 eV per atom; SG = P4mm, No. 99
1.0
-0.064 1.032 3.288
2.846 -1.837 0.635
4.327 6.072 -1.821
Br Mn Sb
1 2 1
Cartesian
5.102 4.805 0.400
0.123 0.172 -0.052
2.361 0.959 1.553
1.686 2.367 -0.710

***

Record 2
MnSb2Br PBE relaxed; uncorrected formation energy = 30.97 kJ/mol of atoms; energy above the most stable polymorph in this dataset = 0.4152 eV per atom; SG = Pmmm, No. 47
1.0
-2.526 -0.147 -2.153
-2.127 -4.457 2.800
-2.768 3.223 3.027
Br Mn Sb
1 1 2
Cartesian
-2.647 1.538 0.437
-2.448 -0.617 2.914
0.000 0.000 0.000
-2.326 -2.302 0.324

***

Record 3
Mn2SbBr PBE relaxed; uncorrected formation energy = 14.79 kJ/mol of atoms; energy above the most stable polymorph in this dataset = 0.1455 eV per atom; SG = Imm2, No. 44
1.0
7.410 0.107 -0.303
5.585 4.872 0.303
-6.444 -2.629 2.565
Br Mn Sb
1 2 1
Cartesian
3.323 2.560 1.434
12.757 4.888 0.000
2.916 -0.328 1.131
7.048 2.700 0.000

***

Record 4
MnSb3Br PBE relaxed; uncorrected formation energy = 21.53 kJ/mol of atoms; energy above the most stable polymorph in this dataset = 0.0000 eV per atom; SG = Pm-3m, No. 221
1.0
5.064 0.000 0.000
0.000 5.064 0.000
0.000 0.000 5.064
Sb Mn Br
3 1 1
Cartesian
0.000 2.532 0.000
0.000 0.000 2.532
2.532 0.000 0.000
0.000 0.000 0.000
2.532 2.532 2.532

***

Record 5
MnSbBr PBE relaxed; uncorrected formation energy = -11.91 kJ/mol of atoms; energy above the most stable polymorph in this dataset = 0.0667 eV per atom; SG = P2_1, No. 4
1.0
-0.840 -4.313 4.547
6.114 -4.484 -3.125
0.541 5.450 5.270
Sb Br Mn
4 4 4
Cartesian
3.021 2.533 4.238
5.807 -2.434 0.040
0.184 -0.010 5.699
2.971 -4.977 1.502
3.414 -3.161 5.266
0.086 -3.643 4.194
5.531 -0.724 3.572
2.203 -1.206 2.500
1.147 -2.719 6.323
4.268 -2.685 2.536
1.482 2.282 6.734
3.933 -7.687 2.127

***

Record 6
MnSb2Br PBE relaxed; uncorrected formation energy = -9.09 kJ/mol of atoms; energy above the most stable polymorph in this dataset = 0.0000 eV per atom; SG = Cmmm, No. 65
1.0
3.684 0.000 0.000
0.000 6.110 0.388
0.000 3.742 4.844
Br Mn Sb
1 1 2
Cartesian
1.842 2.463 1.308
1.842 7.389 3.924
0.000 9.157 4.863
0.000 5.621 2.986

***

| no. | E (eV per atom) |
| --- | --- |
| 1 | -6.026 |
| 2 | -4.451 |
| 3 | -5.880 |
| 4 | -4.419 |
| 5 | -5.112 |
| 6 | -4.866 |